Record 1
FeGe3C: optimized geometry, GGA-PBEsol.

```
data_FeGe3C
_symmetry_space_group_name_H-M 'P 1'
_symmetry_Int_Tables_number 1
_symmetry_space_group_name_Hall 'P 1'
_cell_length_a 4.3926
_cell_length_b 4.3926
_cell_length_c 4.3926
_cell_angle_alpha 90.00
_cell_angle_beta 90.00
_cell_angle_gamma 90.00
loop_
_atom_site_label
_atom_site_type_symbol
_atom_site_fract_x
_atom_site_fract_y
_atom_site_fract_z
_atom_site_occupancy
C1 C 0.5000 0.5000 0.5000 1
Ge1 Ge 0.0000 0.5000 0.0000 1
Ge2 Ge 0.0000 0.0000 0.5000 1
Ge3 Ge 0.5000 0.0000 0.0000 1
Fe1 Fe 0.0000 0.0000 0.0000 1
```

Output
crystal system: cubic
energy relative to the elements: 118.58 kJ per mole of atoms

Record 2
FeGe4H24C8S10N2: optimized geometry, GGA-PBEsol.

```
data_FeGe4H24C8S10N2
_symmetry_space_group_name_H-M 'P 1'
_symmetry_Int_Tables_number 1
_symmetry_space_group_name_Hall 'P 1'
_cell_length_a 9.4012
_cell_length_b 9.7291
_cell_length_c 9.4012
_cell_angle_alpha 61.11
_cell_angle_beta 90.00
_cell_angle_gamma 118.89
loop_
_atom_site_label
_atom_site_type_symbol
_atom_site_fract_x
_atom_site_fract_y
_atom_site_fract_z
_atom_site_occupancy
Fe1 Fe 0.7500 0.5000 0.7500 1
Ge1 Ge 0.9732 0.8208 0.9089 1
Ge2 Ge 0.8476 0.8208 0.2703 1
Ge3 Ge 0.9089 0.1792 0.8476 1
Ge4 Ge 0.2703 0.1792 0.9732 1
H1 H 0.4629 0.2090 0.3258 1
H2 H 0.7462 0.2090 0.4652 1
H3 H 0.3258 0.7910 0.7462 1
H4 H 0.4652 0.7910 0.4629 1
H5 H 0.2962 0.0287 0.5304 1
H6 H 0.7325 0.0287 0.4409 1
H7 H 0.5304 0.9713 0.7325 1
H8 H 0.4409 0.9713 0.2962 1
H9 H 0.4996 0.2090 0.5155 1
H10 H 0.7094 0.2090 0.2755 1
H11 H 0.5155 0.7910 0.7094 1
H12 H 0.2755 0.7910 0.4996 1
H13 H 0.1979 0.7098 0.1786 1
H14 H 0.5119 0.7098 0.1116 1
H15 H 0.1786 0.2902 0.5119 1
H16 H 0.1116 0.2902 0.1979 1
H17 H 0.1191 0.5312 0.4047 1
H18 H 0.4121 0.5312 0.0640 1
H19 H 0.4047 0.4688 0.4121 1
H20 H 0.0640 0.4688 0.1191 1
H21 H 0.3454 0.7101 0.3004 1
H22 H 0.3647 0.7101 0.9895 1
H23 H 0.3004 0.2899 0.3647 1
H24 H 0.9895 0.2899 0.3454 1
C1 C 0.4346 0.1212 0.4652 1
C2 C 0.6865 0.1212 0.4136 1
C3 C 0.4652 0.8788 0.6865 1
C4 C 0.4136 0.8788 0.4346 1
C5 C 0.2255 0.6209 0.2866 1
C6 C 0.3954 0.6209 0.0925 1
C7 C 0.2866 0.3791 0.3954 1
C8 C 0.0925 0.3791 0.2255 1
S1 S 0.2520 0.0051 0.8742 1
S2 S 0.7531 0.0051 0.1207 1
S3 S 0.8742 0.9949 0.7531 1
S4 S 0.1207 0.9949 0.2520 1
S5 S 0.8152 0.6304 0.1848 1
S6 S 0.1848 0.3696 0.8152 1
S7 S 0.9801 0.6570 0.8143 1
S8 S 0.6769 0.6570 0.5286 1
S9 S 0.8143 0.3430 0.6769 1
S10 S 0.5286 0.3430 0.9801 1
N1 N 0.5000 0.0000 0.5000 1
N2 N 0.2500 0.5000 0.2500 1
```

Output
electronic total energy: -5.2392 eV per atom
crystal system: tetragonal

Record 3
LiFe2GeC: optimized geometry, GGA-PBEsol.

```
data_LiFe2GeC
_symmetry_space_group_name_H-M 'P 1'
_symmetry_Int_Tables_number 1
_symmetry_space_group_name_Hall 'P 1'
_cell_length_a 3.6788
_cell_length_b 3.6788
_cell_length_c 3.7264
_cell_angle_alpha 90.00
_cell_angle_beta 90.00
_cell_angle_gamma 90.00
loop_
_atom_site_label
_atom_site_type_symbol
_atom_site_fract_x
_atom_site_fract_y
_atom_site_fract_z
_atom_site_occupancy
C1 C 0.0000 0.0000 0.0000 1
Ge1 Ge 0.5000 0.5000 0.5000 1
Fe1 Fe 0.0000 0.5000 0.0000 1
Fe2 Fe 0.5000 0.0000 0.0000 1
Li1 Li 0.0000 0.0000 0.5000 1
```

Output
crystal system: tetragonal
energy relative to the elements: -4.78 kJ per mole of atoms

Record 4
FeH24C2S2N6O14: optimized geometry, GGA-PBEsol.

```
data_FeH24C2S2N6O14
_symmetry_space_group_name_H-M 'P 1'
_symmetry_Int_Tables_number 1
_symmetry_space_group_name_Hall 'P 1'
_cell_length_a 7.4896
_cell_length_b 10.1386
_cell_length_c 11.9543
_cell_angle_alpha 96.62
_cell_angle_beta 90.00
_cell_angle_gamma 90.00
loop_
_atom_site_label
_atom_site_type_symbol
_atom_site_fract_x
_atom_site_fract_y
_atom_site_fract_z
_atom_site_occupancy
Fe1 Fe 0.0000 0.5000 0.0000 1
Fe2 Fe 0.5000 0.5000 0.5000 1
H1 H 0.6796 0.6108 0.9665 1
H2 H 0.1796 0.3892 0.5335 1
H3 H 0.3204 0.3892 0.0335 1
H4 H 0.8204 0.6108 0.4665 1
H5 H 0.6569 0.4896 0.0444 1
H6 H 0.1569 0.5104 0.4556 1
H7 H 0.3431 0.5104 0.9556 1
H8 H 0.8431 0.4896 0.5444 1
H9 H 0.0095 0.5143 0.2346 1
H10 H 0.5095 0.4857 0.2654 1
H11 H 0.9905 0.4857 0.7654 1
H12 H 0.4905 0.5143 0.7346 1
H13 H 0.8629 0.2587 0.9883 1
H14 H 0.3629 0.7413 0.5117 1
H15 H 0.1371 0.7413 0.0117 1
H16 H 0.6371 0.2587 0.4883 1
H17 H 0.9568 0.2652 0.8688 1
H18 H 0.4568 0.7348 0.6312 1
H19 H 0.0432 0.7348 0.1312 1
H20 H 0.5432 0.2652 0.3688 1
H21 H 0.8371 0.4329 0.1823 1
H22 H 0.3371 0.5671 0.3177 1
H23 H 0.1629 0.5671 0.8177 1
H24 H 0.6629 0.4329 0.6823 1
H25 H 0.7714 0.1266 0.2778 1
H26 H 0.2714 0.8734 0.2222 1
H27 H 0.2286 0.8734 0.7222 1
H28 H 0.7286 0.1266 0.7778 1
H29 H 0.8797 0.1291 0.4080 1
H30 H 0.3797 0.8709 0.0920 1
H31 H 0.1203 0.8709 0.5920 1
H32 H 0.6203 0.1291 0.9080 1
H33 H 0.1666 0.1585 0.1232 1
H34 H 0.6666 0.8415 0.3768 1
H35 H 0.8334 0.8415 0.8768 1
H36 H 0.3334 0.1585 0.6232 1
H37 H 0.9366 0.1280 0.1158 1
H38 H 0.4366 0.8720 0.3842 1
H39 H 0.0634 0.8720 0.8842 1
H40 H 0.5634 0.1280 0.6158 1
H41 H 0.1855 0.1654 0.4175 1
H42 H 0.6855 0.8346 0.0825 1
H43 H 0.8145 0.8346 0.5825 1
H44 H 0.3145 0.1654 0.9175 1
H45 H 0.3164 0.1511 0.2931 1
H46 H 0.8164 0.8489 0.2069 1
H47 H 0.6836 0.8489 0.7069 1
H48 H 0.1836 0.1511 0.7931 1
C1 C 0.0458 0.1302 0.2710 1
C2 C 0.5458 0.8698 0.2290 1
C3 C 0.9542 0.8698 0.7290 1
C4 C 0.4542 0.1302 0.7710 1
S1 S 0.4405 0.7515 0.8710 1
S2 S 0.9405 0.2485 0.6290 1
S3 S 0.5595 0.2485 0.1290 1
S4 S 0.0595 0.7515 0.3710 1
N1 N 0.8886 0.1209 0.3217 1
N2 N 0.3886 0.8791 0.1783 1
N3 N 0.1114 0.8791 0.6783 1
N4 N 0.6114 0.1209 0.8217 1
N5 N 0.0547 0.1217 0.1584 1
N6 N 0.5547 0.8783 0.3416 1
N7 N 0.9453 0.8783 0.8416 1
N8 N 0.4453 0.1217 0.6584 1
N9 N 0.1951 0.1428 0.3319 1
N10 N 0.6951 0.8572 0.1681 1
N11 N 0.8049 0.8572 0.6681 1
N12 N 0.3049 0.1428 0.8319 1
O1 O 0.7253 0.5222 0.9822 1
O2 O 0.2253 0.4778 0.5178 1
O3 O 0.2747 0.4778 0.0178 1
O4 O 0.7747 0.5222 0.4822 1
O5 O 0.9620 0.4580 0.1673 1
O6 O 0.4620 0.5420 0.3327 1
O7 O 0.0380 0.5420 0.8327 1
O8 O 0.5380 0.4580 0.6673 1
O9 O 0.9691 0.2936 0.9511 1
O10 O 0.4691 0.7064 0.5489 1
O11 O 0.0309 0.7064 0.0489 1
O12 O 0.5309 0.2936 0.4511 1
O13 O 0.6142 0.7601 0.9317 1
O14 O 0.1142 0.2399 0.5683 1
O15 O 0.3858 0.2399 0.0683 1
O16 O 0.8858 0.7601 0.4317 1
O17 O 0.4566 0.8137 0.7649 1
O18 O 0.9566 0.1863 0.7351 1
O19 O 0.5434 0.1863 0.2351 1
O20 O 0.0434 0.8137 0.2649 1
O21 O 0.2993 0.8207 0.9429 1
O22 O 0.7993 0.1793 0.5571 1
O23 O 0.7007 0.1793 0.0571 1
O24 O 0.2007 0.8207 0.4429 1
O25 O 0.3901 0.6081 0.8434 1
O26 O 0.8901 0.3919 0.6566 1
O27 O 0.6099 0.3919 0.1566 1
O28 O 0.1099 0.6081 0.3434 1
```

Output
electronic total energy: -5.7961 eV per atom
crystal system: monoclinic

Record 5
FeH4C2O6: optimized geometry, GGA-PBEsol.

```
data_FeH4C2O6
_symmetry_space_group_name_H-M 'P 1'
_symmetry_Int_Tables_number 1
_symmetry_space_group_name_Hall 'P 1'
_cell_length_a 5.1313
_cell_length_b 6.4034
_cell_length_c 7.8506
_cell_angle_alpha 81.77
_cell_angle_beta 70.92
_cell_angle_gamma 66.38
loop_
_atom_site_label
_atom_site_type_symbol
_atom_site_fract_x
_atom_site_fract_y
_atom_site_fract_z
_atom_site_occupancy
Fe1 Fe 0.5792 0.7500 0.2500 1
Fe2 Fe 0.4208 0.2500 0.7500 1
H1 H 0.4965 0.1555 0.1346 1
H2 H 0.7867 0.3445 0.3654 1
H3 H 0.5035 0.8445 0.8654 1
H4 H 0.2133 0.6555 0.6346 1
H5 H 0.3709 0.1556 0.3573 1
H6 H 0.8838 0.3444 0.1427 1
H7 H 0.6291 0.8444 0.6427 1
H8 H 0.1162 0.6556 0.8573 1
C1 C 0.1297 0.7496 0.1513 1
C2 C 0.0306 0.7504 0.3487 1
C3 C 0.8703 0.2504 0.8487 1
C4 C 0.9694 0.2496 0.6513 1
O1 O 0.3918 0.7494 0.0737 1
O2 O 0.2149 0.7506 0.4263 1
O3 O 0.6082 0.2506 0.9263 1
O4 O 0.7851 0.2494 0.5737 1
O5 O 0.9453 0.7486 0.0733 1
O6 O 0.7672 0.7514 0.4267 1
O7 O 0.0547 0.2514 0.9267 1
O8 O 0.2328 0.2486 0.5733 1
O9 O 0.4040 0.0795 0.2450 1
O10 O 0.7284 0.4205 0.2550 1
O11 O 0.5960 0.9205 0.7550 1
O12 O 0.2716 0.5795 0.7450 1
```

Output
electronic total energy: -6.6511 eV per atom
crystal system: monoclinic

Record 6
FeH4C3O8: optimized geometry, GGA-PBEsol.

```
data_FeH4C3O8
_symmetry_space_group_name_H-M 'P 1'
_symmetry_Int_Tables_number 1
_symmetry_space_group_name_Hall 'P 1'
_cell_length_a 5.3515
_cell_length_b 6.3814
_cell_length_c 8.7054
_cell_angle_alpha 91.09
_cell_angle_beta 97.98
_cell_angle_gamma 95.42
loop_
_atom_site_label
_atom_site_type_symbol
_atom_site_fract_x
_atom_site_fract_y
_atom_site_fract_z
_atom_site_occupancy
Fe1 Fe 0.5145 0.7044 0.7560 1
Fe2 Fe 0.4855 0.2956 0.2440 1
H1 H 0.2336 0.8816 0.5514 1
H2 H 0.7664 0.1184 0.4486 1
H3 H 0.2452 0.9976 0.7362 1
H4 H 0.7548 0.0024 0.2638 1
H5 H 0.8211 0.1033 0.6968 1
H6 H 0.1789 0.8967 0.3032 1
H7 H 0.9979 0.2929 0.6395 1
H8 H 0.0021 0.7071 0.3605 1
C1 C 0.8732 0.9288 0.9904 1
C2 C 0.1268 0.0712 0.0096 1
C3 C 0.6191 0.5626 0.4867 1
C4 C 0.3809 0.4374 0.5133 1
C5 C 0.6080 0.4425 0.9817 1
C6 C 0.3920 0.5575 0.0183 1
O1 O 0.7942 0.8452 0.1044 1
O2 O 0.2058 0.1548 0.8956 1
O3 O 0.7668 0.9111 0.8478 1
O4 O 0.2332 0.0889 0.1522 1
O5 O 0.7117 0.7035 0.5879 1
O6 O 0.2883 0.2965 0.4121 1
O7 O 0.7096 0.5171 0.3635 1
O8 O 0.2904 0.4829 0.6365 1
O9 O 0.6935 0.4875 0.8563 1
O10 O 0.3065 0.5125 0.1437 1
O11 O 0.3135 0.6900 0.9209 1
O12 O 0.6865 0.3100 0.0791 1
O13 O 0.3314 0.9153 0.6637 1
O14 O 0.6686 0.0847 0.3363 1
O15 O 0.8432 0.1960 0.6085 1
O16 O 0.1568 0.8040 0.3915 1
```

Output
electronic total energy: -6.8876 eV per atom
crystal system: triclinic

Record 7
FePH5CO4: optimized geometry, GGA-PBEsol.

```
data_FePH5CO4
_symmetry_space_group_name_H-M 'P 1'
_symmetry_Int_Tables_number 1
_symmetry_space_group_name_Hall 'P 1'
_cell_length_a 4.7964
_cell_length_b 5.6799
_cell_length_c 8.7563
_cell_angle_alpha 90.00
_cell_angle_beta 90.00
_cell_angle_gamma 95.60
loop_
_atom_site_label
_atom_site_type_symbol
_atom_site_fract_x
_atom_site_fract_y
_atom_site_fract_z
_atom_site_occupancy
Fe1 Fe 0.7204 0.5105 0.5224 1
Fe2 Fe 0.2204 0.0105 0.4776 1
P1 P 0.6638 0.9997 0.6944 1
P2 P 0.1638 0.4997 0.3056 1
H1 H 0.8485 0.4989 0.0967 1
H2 H 0.3485 0.9989 0.9033 1
H3 H 0.0748 0.3330 0.6999 1
H4 H 0.7020 0.1051 0.3186 1
H5 H 0.5748 0.8330 0.3001 1
H6 H 0.2020 0.6051 0.6814 1
H7 H 0.1610 0.3647 0.0459 1
H8 H 0.6610 0.8647 0.9541 1
H9 H 0.6691 0.1805 0.9417 1
H10 H 0.1691 0.6805 0.0583 1
C1 C 0.5783 0.0119 0.8926 1
C2 C 0.0783 0.5119 0.1074 1
O1 O 0.0257 0.4996 0.6980 1
O2 O 0.5257 0.9996 0.3020 1
O3 O 0.4825 0.5222 0.3245 1
O4 O 0.9825 0.0222 0.6755 1
O5 O 0.5310 0.2053 0.6114 1
O6 O 0.0310 0.7053 0.3886 1
O7 O 0.0156 0.2668 0.3736 1
O8 O 0.5156 0.7668 0.6264 1
```

Output
electronic total energy: -6.1588 eV per atom
crystal system: monoclinic

Record 8
FeHg3C: optimized geometry, GGA-PBEsol.

```
data_FeHg3C
_symmetry_space_group_name_H-M 'P 1'
_symmetry_Int_Tables_number 1
_symmetry_space_group_name_Hall 'P 1'
_cell_length_a 4.5436
_cell_length_b 4.5436
_cell_length_c 4.5436
_cell_angle_alpha 90.00
_cell_angle_beta 90.00
_cell_angle_gamma 90.00
loop_
_atom_site_label
_atom_site_type_symbol
_atom_site_fract_x
_atom_site_fract_y
_atom_site_fract_z
_atom_site_occupancy
C1 C 0.0000 0.0000 0.0000 1
Hg1 Hg 0.0000 0.5000 0.0000 1
Hg2 Hg 0.0000 0.0000 0.5000 1
Hg3 Hg 0.5000 0.0000 0.0000 1
Fe1 Fe 0.5000 0.5000 0.5000 1
```

Output
crystal system: cubic
energy relative to the elements: 139.02 kJ per mole of atoms